# 1
# GGA-PBEsol Cs2YAgI6, optimized geometry
data_Cs2YAgI6
_chemical_formula_sum 'Cs8 Y4 Ag4 I24'
_cell_length_a 11.856
_cell_length_b 11.856
_cell_length_c 11.856
_cell_angle_alpha 90.00
_cell_angle_beta 90.00
_cell_angle_gamma 90.00
_space_group_name_H-M_alt 'F m -3 m'
_space_group_IT_number 225
_space_group_name_Hall '-F 4 2 3'
loop_
_atom_site_label
_atom_site_fract_x
_atom_site_fract_y
_atom_site_fract_z
Cs1 0.250 0.250 0.250
Y1 0.000 0.000 0.000
Ag1 0.000 0.000 0.500
I1 0.000 0.000 0.251
# * final energy: -139.1 eV/cell

---

# 2
# GGA-PBEsol YSc2InRe, optimized geometry
data_YSc2InRe
_chemical_formula_sum 'Y1 Sc2 In1 Re1'
_cell_length_a 4.786
_cell_length_b 4.786
_cell_length_c 5.351
_cell_angle_alpha 90.00
_cell_angle_beta 90.00
_cell_angle_gamma 90.00
_space_group_name_H-M_alt 'P 4/m m m'
_space_group_IT_number 123
_space_group_name_Hall '-P 4 2'
loop_
_atom_site_label
_atom_site_fract_x
_atom_site_fract_y
_atom_site_fract_z
Y1 0.000 0.000 0.000
Sc1 0.000 0.500 0.000
In1 0.000 0.000 0.500
Re1 0.500 0.500 0.500
# * ΔE_f: 1.915 eV/atom

---

| no. | D(E_F) (states/eV per cell) |
| --- | --- |
| 1 | 0.00 |
| 2 | 7.36 |